{
  "formula": "FeTcOF2",
  "functional": "PBE+U",
  "state": "relaxed",
  "dos_ef_per_ev_fu": 2.73,
  "total_energy_ev_per_cell": -28.9,
  "mass_density_g_cm3": 4.9,
  "lattice_angstrom": [[4.319, 0.000, 0.000], [0.000, 4.319, 0.000], [0.000, 0.000, 3.772]],
  "species": ["Fe", "O", "F", "F", "Tc"],
  "fractional_positions": [[0.500, 0.500, 0.500], [0.000, 0.000, 0.500], [0.000, 0.500, 0.000], [0.500, 0.000, 0.000], [0.000, 0.000, 0.000]]
}